Entry from Alexandria: ZrMn after structural relaxation (GGA-PBE).

a b c (Å): 3.056 3.056 9.345
angles (deg): 90.00 90.00 120.00
Fractional coordinates of all 4 atoms:
Zr: 0.333 0.667 0.355
Zr: 0.667 0.333 0.645
Mn: 0.333 0.667 0.890
Mn: 0.667 0.333 0.110

Properties
**Space group**: P-3m1
**E_form**: 0.33 eV per atom
**Total energy**: -0.3136 hartree per atom
**Volume**: 75.6 Å³ per cell



Entry from Alexandria: ZrMn after structural relaxation (GGA-PBE).

a b c (Å): 6.898 6.898 6.898
angles (deg): 92.65 92.65 155.15
Fractional coordinates of all 8 atoms:
Zr: 0.156 0.156 0.312
Zr: 0.156 0.844 0.000
Zr: 0.844 0.156 0.000
Zr: 0.844 0.844 0.688
Mn: 0.140 0.500 0.640
Mn: 0.500 0.140 0.640
Mn: 0.500 0.860 0.360
Mn: 0.860 0.500 0.360

Properties
**Space group**: I4/mmm
**E_form**: 0.16 eV per atom
**Total energy**: -0.3198 hartree per atom
**Volume**: 134.7 Å³ per cell



Entry from Alexandria: ZrMn after structural relaxation (GGA-PBE).

a b c (Å): 4.424 4.424 4.263
angles (deg): 90.00 90.00 120.00
Fractional coordinates of all 4 atoms:
Zr: 0.333 0.667 0.250
Zr: 0.667 0.333 0.750
Mn: 0.000 0.000 0.000
Mn: 0.000 0.000 0.500

Properties
**Space group**: P6_3/mmc
**E_form**: 0.16 eV per atom
**Total energy**: -0.3197 hartree per atom
**Volume**: 72.2 Å³ per cell



Entry from Alexandria: Zr5Mn after structural relaxation (GGA-PBE).

a b c (Å): 7.652 7.652 5.133
angles (deg): 90.00 90.00 155.33
Fractional coordinates of all 6 atoms:
Zr: 0.000 0.000 0.000
Zr: 0.142 0.858 0.500
Zr: 0.333 0.667 0.000
Zr: 0.667 0.333 0.000
Zr: 0.858 0.142 0.500
Mn: 0.500 0.500 0.500

Properties
**Space group**: Cmmm
**E_form**: 0.13 eV per atom
**Total energy**: -0.3132 hartree per atom
**Volume**: 125.5 Å³ per cell



Entry from Alexandria: ZrMn after structural relaxation (GGA-PBE).

a b c (Å): 4.540 4.540 5.181
angles (deg): 90.00 90.00 120.00
Fractional coordinates of all 4 atoms:
Zr: 0.333 0.667 0.250
Zr: 0.667 0.333 0.750
Mn: 0.333 0.667 0.750
Mn: 0.667 0.333 0.250

Properties
**Space group**: P6_3/mmc
**E_form**: 1.08 eV per atom
**Total energy**: -0.2860 hartree per atom
**Volume**: 92.5 Å³ per cell



Entry from Alexandria: Zr8Mn after structural relaxation (GGA-PBE).

a b c (Å): 7.114 7.114 7.114
angles (deg): 95.41 95.41 144.22
Fractional coordinates of all 9 atoms:
Zr: 0.000 0.331 0.331
Zr: 0.000 0.669 0.669
Zr: 0.331 0.000 0.331
Zr: 0.337 0.337 0.674
Zr: 0.337 0.663 0.000
Zr: 0.663 0.337 0.000
Zr: 0.663 0.663 0.326
Zr: 0.669 0.000 0.669
Mn: 0.000 0.000 0.000

Properties
**Space group**: I4/mmm
**E_form**: 0.09 eV per atom
**Total energy**: -0.3135 hartree per atom
**Volume**: 200.3 Å³ per cell



Question: Among the records above, which one has the highest E_form?
Answer: number 5



Question: Which of these has the highest total energy?
Answer: number 5



Question: Look up the volume of the fourth one.
Answer: 125.5 Å³ per cell



What did the fifth record say?
Entry from Alexandria: ZrMn after structural relaxation (GGA-PBE).

a b c (Å): 4.540 4.540 5.181
angles (deg): 90.00 90.00 120.00
Fractional coordinates of all 4 atoms:
Zr: 0.333 0.667 0.250
Zr: 0.667 0.333 0.750
Mn: 0.333 0.667 0.750
Mn: 0.667 0.333 0.250

Properties
**Space group**: P6_3/mmc
**E_form**: 1.08 eV per atom
**Total energy**: -0.2860 hartree per atom
**Volume**: 92.5 Å³ per cell